[1]
Material: SrHoZnSn
Method: DFT, GGA-PBE
State: optimized geometry

Symmetry: F-43m
DFT total energy, eV per atom: -3.274
Crystal system: cubic
ΔH_f (0 K), eV per formula unit: -1.6

```
SrHoZnSn
1.0
0.000 3.808 3.808
3.808 0.000 3.808
3.808 3.808 0.000
Sr Ho Zn Sn
1 1 1 1
Direct
0.000 0.000 0.000 Sr
0.500 0.500 0.500 Ho
0.250 0.250 0.250 Zn
0.750 0.750 0.750 Sn
```

=====

[2]
Material: ZrMnRu2Br
Method: DFT, GGA-PBE
State: optimized geometry

Symmetry: P4/mmm
Uncorrected formation energy, eV/atom: 1.783
DFT total energy, eV per atom: -5.806
Crystal system: tetragonal

```
ZrMnRu2Br
1.0
4.835 0.000 0.000
0.000 4.835 0.000
0.000 0.000 5.126
Zr Mn Ru Br
1 1 2 1
Direct
0.000 0.000 0.000 Zr
0.500 0.500 0.500 Mn
0.000 0.500 0.000 Ru
0.500 0.000 0.000 Ru
0.000 0.000 0.500 Br
```